Crystalline ErBiS3 at its relaxed geometry. Source: Alexandria, functional GGA-PBE.

CIF file:
```
data_ErBiS3
_chemical_formula_sum 'Er2 Bi2 S6'
_cell_length_a 7.070
_cell_length_b 3.991
_cell_length_c 9.978
_cell_angle_alpha 90.00
_cell_angle_beta 90.14
_cell_angle_gamma 90.00
_symmetry_space_group_name_H-M 'P 1'
_symmetry_Int_Tables_number 1
loop_
_symmetry_equiv_pos_as_xyz
'x,y,z'
loop_
_atom_site_label
_atom_site_type_symbol
_atom_site_fract_x
_atom_site_fract_y
_atom_site_fract_z
Er1 Er 0.074 0.250 0.176
Er2 Er 0.926 0.750 0.824
Bi1 Bi 0.417 0.250 0.813
Bi2 Bi 0.583 0.750 0.187
S1 S 0.088 0.250 0.687
S2 S 0.221 0.750 0.008
S3 S 0.407 0.250 0.317
S4 S 0.593 0.750 0.683
S5 S 0.779 0.250 0.992
S6 S 0.912 0.750 0.313
```

Output
Calculated density: 5.57 g/cm3
Energy above the lowest structure with this stoichiometry: 0.00 eV/f.u.
Magnetization: 0.00 μB per formula unit
E_form (uncorrected): -1.19 eV per atom
Total energy: -5.35 eV per atom